GdAgSO: relaxed, PBE-GGA.

Unit cell a=7.194 b=11.001 c=7.272 alpha=90.00 beta=90.00 gamma=90.00
Space group Pbca (No. 61)
Unique sites:
Gd 0.019 0.212 0.125 x8
Ag 0.199 0.005 0.502 x8
S 0.039 0.550 0.711 x8
O 0.196 0.220 0.391 x8

---

GdAgSO: relaxed, PBE-GGA.

Unit cell a=4.232 b=6.418 c=6.406 alpha=90.00 beta=90.00 gamma=90.00
Space group Pmc2_1 (No. 26)
Unique sites:
Gd 0.000 0.173 0.000 x2
Ag 0.500 0.272 0.569 x2
S 0.500 0.348 0.185 x2
O 0.000 0.112 0.669 x2

---

GdAgSO: relaxed, PBE-GGA.

Unit cell a=6.276 b=7.288 c=6.413 alpha=90.00 beta=100.85 gamma=90.00
Space group P2_1/c (No. 14)
Unique sites:
Gd 0.077 0.116 0.239 x4
Ag 0.446 0.701 0.494 x4
S 0.314 0.066 0.669 x4
O 0.083 0.668 0.593 x4

---

GdAgSO: relaxed, PBE-GGA.

Unit cell a=7.717 b=7.748 c=5.527 alpha=90.00 beta=90.00 gamma=90.00
Space group Pca2_1 (No. 29)
Unique sites:
Gd 0.048 0.191 0.000 x4
Ag 0.128 0.628 0.995 x4
S 0.094 0.135 0.501 x4
O 0.090 0.585 0.509 x4

---

GdAgSO: relaxed, PBE-GGA.

Unit cell a=4.3872 b=4.3872 c=31.9219 alpha=90.00 beta=90.00 gamma=120.00
Space group R-3m (No. 166, hexagonal axes)
Unique sites:
Gd 0.0000 0.0000 0.2283 x6
Ag 0.0000 0.0000 0.3658 x6
S 0.0000 0.0000 0.1285 x6
O 0.0000 0.0000 0.2929 x6

---

SmGd2AgO6: relaxed, PBE-GGA.

Unit cell a=3.670 b=5.608 c=7.006 alpha=90.92 beta=103.52 gamma=91.26
Space group P-1 (No. 2)
Unique sites:
Sm 0.000 0.000 0.000 x1
Gd 0.385 0.471 0.733 x2
Ag 0.000 0.000 0.500 x1
O 0.135 0.788 0.294 x2
O 0.161 0.307 0.383 x2
O 0.482 0.741 0.978 x2

---

GdAgSnO3: relaxed, PBE-GGA.

Unit cell a=3.542 b=13.434 c=8.357 alpha=90.00 beta=90.00 gamma=90.00
Space group Cmcm (No. 63)
Unique sites:
Gd 0.000 0.000 0.000 x4
Ag 0.000 0.333 0.250 x4
Sn 0.000 0.334 0.750 x4
O 0.000 0.069 0.250 x4
O 0.000 0.391 0.002 x8

---

GdAgTeO: relaxed, PBE-GGA.

Unit cell a=5.1873 b=5.1873 c=28.8218 alpha=90.00 beta=90.00 gamma=120.00
Space group R-3m (No. 166, hexagonal axes)
Unique sites:
Gd 0.0000 0.0000 0.2322 x6
Ag 0.0000 0.0000 0.3760 x6
Te 0.0000 0.0000 0.1137 x6
O 0.0000 0.0000 0.3004 x6

---

GdAgTeO: relaxed, PBE-GGA.

Unit cell a=4.4026 b=4.4026 c=38.8755 alpha=90.00 beta=90.00 gamma=120.00
Space group R-3m (No. 166, hexagonal axes)
Unique sites:
Gd 0.0000 0.0000 0.2479 x6
Ag 0.0000 0.0000 0.3607 x6
Te 0.0000 0.0000 0.1252 x6
O 0.0000 0.0000 0.3009 x6

---

GdAgTeO: relaxed, PBE-GGA.

Unit cell a=4.6444 b=4.6444 c=35.4139 alpha=90.00 beta=90.00 gamma=120.00
Space group R-3m (No. 166, hexagonal axes)
Unique sites:
Gd 0.0000 0.0000 0.2428 x6
Ag 0.0000 0.0000 0.3640 x6
Te 0.0000 0.0000 0.1265 x6
O 0.0000 0.0000 0.2999 x6

---

GdAgTeO: relaxed, PBE-GGA.

Unit cell a=4.474 b=6.387 c=6.947 alpha=90.00 beta=90.00 gamma=90.00
Space group Pmc2_1 (No. 26)
Unique sites:
Gd 0.000 0.147 0.000 x2
Ag 0.500 0.241 0.626 x2
Te 0.500 0.340 0.239 x2
O 0.000 0.111 0.692 x2

---

GdAgTeO: relaxed, PBE-GGA.

Unit cell a=4.8402 b=4.8402 c=33.3679 alpha=90.00 beta=90.00 gamma=120.00
Space group R-3m (No. 166, hexagonal axes)
Unique sites:
Gd 0.0000 0.0000 0.2395 x6
Ag 0.0000 0.0000 0.3665 x6
Te 0.0000 0.0000 0.1249 x6
O 0.0000 0.0000 0.2995 x6

---

Number 1: final energy -5.838 eV per atom, volume 71.9 Å³/f.u.. Number 2: final energy -5.759 eV per atom, volume 87.0 Å³/f.u.. Number 3: final energy -5.919 eV per atom, volume 72.0 Å³/f.u.. Number 4: final energy -5.603 eV per atom, volume 82.6 Å³/f.u.. Number 5: final energy -5.491 eV per atom, volume 88.7 Å³/f.u.. Number 6: final energy -7.305 eV per atom, volume 140.1 Å³/f.u.. Number 7: final energy -6.268 eV per atom, volume 99.4 Å³/f.u.. Number 8: final energy -4.902 eV per atom, volume 111.9 Å³/f.u.. Number 9: final energy -4.918 eV per atom, volume 108.8 Å³/f.u.. Number 10: final energy -4.905 eV per atom, volume 110.3 Å³/f.u.. Number 11: final energy -5.320 eV per atom, volume 99.3 Å³/f.u.. Number 12: final energy -4.901 eV per atom, volume 112.8 Å³/f.u..